1.
# GGA-PBEsol Y3Au, relaxed
data_Y3Au
_chemical_formula_sum 'Y6 Au2'
_symmetry_space_group_name_H-M 'I m m m'
_symmetry_Int_Tables_number 71
_symmetry_space_group_name_Hall '-I 2 2'
_cell_length_a 3.673
_cell_length_b 5.204
_cell_length_c 11.098
_cell_angle_alpha 90.00
_cell_angle_beta 90.00
_cell_angle_gamma 90.00
loop_
_atom_site_label
_atom_site_type_symbol
_atom_site_fract_x
_atom_site_fract_y
_atom_site_fract_z
_atom_site_occupancy
Y1 Y 0.000 0.000 0.000 1
Y2 Y 0.000 0.500 0.208 1
Au1 Au 0.000 0.000 0.500 1
# Formation enthalpy at 0 K ... -0.4168 eV per atom
# E ... -26.1 eV/f.u.
# N(E_F) ... 7.6 states/eV per cell

***

2.
# GGA-PBEsol YAu, relaxed
data_YAu
_chemical_formula_sum 'Y4 Au4'
_symmetry_space_group_name_H-M 'I m m a'
_symmetry_Int_Tables_number 74
_symmetry_space_group_name_Hall '-I 2b 2'
_cell_length_a 3.674
_cell_length_b 4.642
_cell_length_c 10.414
_cell_angle_alpha 90.00
_cell_angle_beta 90.00
_cell_angle_gamma 90.00
loop_
_atom_site_label
_atom_site_type_symbol
_atom_site_fract_x
_atom_site_fract_y
_atom_site_fract_z
_atom_site_occupancy
Y1 Y 0.000 0.250 0.110 1
Au1 Au 0.000 0.250 0.642 1
# Formation enthalpy at 0 K ... -0.6755 eV per atom
# E ... -12.1 eV/f.u.
# N(E_F) ... 7.2 states/eV per cell

***

3.
# GGA-PBEsol YAu5, relaxed
data_YAu5
_chemical_formula_sum 'Y2 Au10'
_symmetry_space_group_name_H-M 'C 1 2/m 1'
_symmetry_Int_Tables_number 12
_cell_length_a 9.225
_cell_length_b 4.265
_cell_length_c 5.816
_cell_angle_alpha 90.00
_cell_angle_beta 106.05
_cell_angle_gamma 90.00
loop_
_symmetry_equiv_pos_as_xyz
'x,y,z'
'-x,-y,-z'
'-x,y,-z'
'x,-y,z'
'x+1/2,y+1/2,z'
'-x+1/2,-y+1/2,-z'
'-x+1/2,y+1/2,-z'
'x+1/2,-y+1/2,z'
loop_
_atom_site_label
_atom_site_type_symbol
_atom_site_fract_x
_atom_site_fract_y
_atom_site_fract_z
_atom_site_occupancy
Y1 Y 0.000 0.000 0.000 1
Au1 Au 0.000 0.000 0.500 1
Au2 Au 0.163 0.500 0.824 1
Au3 Au 0.169 0.500 0.334 1
# Formation enthalpy at 0 K ... -0.4371 eV per atom
# E ... -29.1 eV/f.u.
# N(E_F) ... 4.1 states/eV per cell

***

no.,V (Å³/cell)
1,212
2,178
3,220